The following is a DFT calculation (GGA-PBE) of a relaxed BeIn2Cl crystal.

**Final energy**: -2.74 eV/atom
**Magnetization**: 0.000 μB per atom
**Relative energy among the computed polymorphs**: 0.145 eV per atom

a = 7.4008 Å, b = 7.4008 Å, c = 7.4008 Å
α = 30.05°, β = 30.05°, γ = 30.05°
Fractional positions:
Be  0.2500  0.2500  0.2500
Cl  0.7500  0.7500  0.7500
In  0.9799  0.9799  0.9799
In  0.5201  0.5201  0.5201